MgTaCd PBE optimized geometry; calculated total energy = -4.5489 eV per atom; formation energy from the elements = 0.72 eV per formula unit
1.0
2.996 0.000 0.000
-1.498 2.594 0.000
0.000 0.000 7.664
Mg Ta Cd
1 1 1
direct
0.000 0.000 0.000
0.333 0.667 0.326
0.667 0.333 0.660


MgTa2Cd PBE optimized geometry; energy above the lowest structure with this stoichiometry = 178.9 meV/atom; calculated total energy = -6.2669 eV per atom; formation energy from the elements = 1.15 eV per formula unit
1.0
3.988 0.000 0.000
0.000 3.988 0.000
0.000 0.000 4.750
Mg Ta Cd
1 2 1
direct
0.000 0.000 0.000
0.000 0.500 0.500
0.500 0.000 0.500
0.500 0.500 0.000


Mg2TaCd PBE optimized geometry; calculated total energy = -3.5312 eV per atom; formation energy from the elements = 1.83 eV per formula unit
1.0
0.000 3.425 3.425
3.425 0.000 3.425
3.425 3.425 0.000
Mg Ta Cd
2 1 1
direct
0.000 0.000 0.000
0.250 0.250 0.250
0.750 0.750 0.750
0.500 0.500 0.500


MgTaCd2 PBE optimized geometry; calculated total energy = -3.2865 eV per atom; formation energy from the elements = 2.13 eV per formula unit
1.0
0.000 3.431 3.431
3.431 0.000 3.431
3.431 3.431 0.000
Mg Ta Cd
1 1 2
direct
0.000 0.000 0.000
0.750 0.750 0.750
0.250 0.250 0.250
0.500 0.500 0.500